1.
A plane-wave DFT calculation with GGA-PBEsol was carried out for an optimized crystal structure of GeTeIN2.

abc: 4.0579 4.0579 6.7816
angles: 90.00 90.00 90.00
Fractional coordinates of all 5 atoms:
Ge (0.0000, 0.0000, 0.0000)
Te (0.5000, 0.5000, 0.5000)
I (0.5000, 0.5000, 0.0000)
N (0.0000, 0.5000, 0.5000)
N (0.5000, 0.0000, 0.5000)

The value obtained for the formation energy (no corrections) is 1.424 eV/atom. As for the space-group type: No. 123. As for the total energy: -4.03 eV per atom.

2.
A plane-wave DFT calculation with GGA-PBEsol was carried out for an optimized crystal structure of Zr2NbGeI.

abc: 5.1406 5.1406 5.1648
angles: 90.00 90.00 90.00
Fractional coordinates of all 5 atoms:
Zr (0.0000, 0.5000, 0.0000)
Zr (0.5000, 0.0000, 0.0000)
Nb (0.0000, 0.0000, 0.5000)
Ge (0.5000, 0.5000, 0.5000)
I (0.5000, 0.5000, 0.0000)

The value obtained for the formation energy (no corrections) is 1.480 eV/atom. As for the space-group type: No. 123. As for the total energy: -5.66 eV per atom.

3.
A plane-wave DFT calculation with GGA-PBEsol was carried out for an optimized crystal structure of NiGeI2O.

abc: 5.5266 5.5266 3.6438
angles: 90.00 90.00 90.00
Fractional coordinates of all 5 atoms:
Ni (0.0000, 0.0000, 0.0000)
Ge (0.5000, 0.5000, 0.5000)
I (0.0000, 0.5000, 0.5000)
I (0.5000, 0.0000, 0.5000)
O (0.5000, 0.5000, 0.0000)

The value obtained for the formation energy (no corrections) is 0.232 eV/atom. As for the space-group type: No. 123. As for the total energy: -3.74 eV per atom.

4.
A plane-wave DFT calculation with GGA-PBEsol was carried out for an optimized crystal structure of TiNi2GeI.

abc: 4.4408 4.4408 5.5518
angles: 90.00 90.00 90.00
Fractional coordinates of all 5 atoms:
Ti (0.0000, 0.0000, 0.0000)
Ni (0.0000, 0.5000, 0.5000)
Ni (0.5000, 0.0000, 0.5000)
Ge (0.5000, 0.5000, 0.0000)
I (0.5000, 0.5000, 0.5000)

The value obtained for the formation energy (no corrections) is 1.234 eV/atom. As for the space-group type: No. 123. As for the total energy: -4.23 eV per atom.

5.
A plane-wave DFT calculation with GGA-PBEsol was carried out for an optimized crystal structure of GeI2O2.

abc: 4.0425 4.0425 6.0117
angles: 90.00 90.00 90.00
Fractional coordinates of all 5 atoms:
Ge (0.0000, 0.0000, 0.0000)
I (0.0000, 0.0000, 0.5000)
I (0.5000, 0.5000, 0.5000)
O (0.0000, 0.5000, 0.0000)
O (0.5000, 0.0000, 0.0000)

The value obtained for the formation energy (no corrections) is -0.025 eV/atom. As for the space-group type: No. 123. As for the total energy: -3.82 eV per atom.

6.
A plane-wave DFT calculation with GGA-PBEsol was carried out for an optimized crystal structure of GeRhIO2.

abc: 3.9639 3.9639 5.3649
angles: 90.00 90.00 90.00
Fractional coordinates of all 5 atoms:
Ge (0.0000, 0.0000, 0.0000)
Rh (0.5000, 0.5000, 0.5000)
I (0.5000, 0.5000, 0.0000)
O (0.0000, 0.5000, 0.5000)
O (0.5000, 0.0000, 0.5000)

The value obtained for the formation energy (no corrections) is 0.100 eV/atom. As for the space-group type: No. 123. As for the total energy: -4.97 eV per atom.